The following is a DFT calculation (PBE) of a geometry-optimized TeWSN2 structure.

The calculation puts the magnetic moment at 1.28 μB/f.u. The calculation puts the total energy at -26.0 eV/cell. Its energy above the most stable polymorph in this dataset is 1.682 eV per atom. The calculation puts the density of states at the Fermi level at 3.8 states/eV/cell. Its energy relative to the elements, uncorrected is 2.1812 eV per atom.

It has space group P4/mmm (No. 123), with a = 3.861 Å, b = 3.861 Å, c = 5.013 Å, α = 90.00°, β = 90.00° and γ = 90.00°. The distinct sites, in fractional coordinates, are Te at (0.000, 0.000, 0.000), W at (0.500, 0.500, 0.000), S at (0.000, 0.000, 0.500) and N at (0.000, 0.500, 0.500).